## Dy8Er3Tm4 (PBE)

Data for a geometry-optimized Dy8Er3Tm4 structure.

abc: 6.668 9.166 9.166
angles: 87.74 111.27 111.27
Element x y z (fractional)
Dy 0.000 0.643 0.357
Dy 0.991 0.735 0.735
Dy 0.500 0.750 0.250
Dy 0.000 0.357 0.643
Dy 0.009 0.265 0.265
Dy 0.534 0.268 0.268
Dy 0.466 0.732 0.732
Dy 0.500 0.250 0.750
Er 0.500 0.000 0.500
Er 0.500 0.500 0.000
Er 0.500 0.500 0.500
Tm 0.000 0.000 0.500
Tm 0.000 0.000 0.000
Tm 0.000 0.500 0.000
Tm 0.500 0.000 0.000

ΔH_f (0 K), eV per atom: 0.4137

## Dy2ErTm3 (PBE)

Data for a geometry-optimized Dy2ErTm3 structure.

abc: 6.060 7.005 9.268
angles: 112.20 89.96 90.00
Element x y z (fractional)
Tm 0.083 0.291 0.333
Tm 0.583 0.041 0.333
Tm 0.417 0.959 0.667
Tm 0.250 0.375 0.000
Tm 0.917 0.709 0.667
Tm 0.750 0.625 0.000
Dy 0.083 0.792 0.333
Dy 0.917 0.208 0.667
Dy 0.417 0.459 0.667
Dy 0.583 0.541 0.333
Er 0.750 0.125 0.000
Er 0.250 0.875 0.000

ΔH_f (0 K), eV per atom: 0.0246
Energy above the most stable polymorph in this dataset, meV per atom: 15

## DyEr12Tm5 (PBE)

Data for a geometry-optimized DyEr12Tm5 structure.

abc: 6.077 6.075 17.119
angles: 93.40 96.80 59.99
Element x y z (fractional)
Er 0.722 0.333 0.168
Er 0.777 0.000 0.334
Er 0.611 0.000 0.832
Er 0.556 0.333 0.666
Er 0.945 0.333 0.832
Er 0.111 0.333 0.334
Er 0.889 0.667 0.666
Er 0.389 0.000 0.168
Er 0.444 0.667 0.334
Er 0.278 0.667 0.832
Er 0.055 0.667 0.168
Er 0.223 0.000 0.666
Tm 0.667 0.667 0.000
Tm 0.333 0.333 0.000
Tm 0.500 0.000 0.500
Tm 0.833 0.333 0.500
Tm 0.167 0.667 0.500
Dy 0.000 0.000 0.000

ΔH_f (0 K), eV per atom: 0.0128

## Dy3ErTm (PBE)

Data for a geometry-optimized Dy3ErTm structure.

abc: 9.188 9.189 7.379
angles: 90.00 90.00 90.00
Element x y z (fractional)
Er 0.500 0.000 0.500
Er 0.000 0.500 0.000
Er 0.000 0.500 0.500
Er 0.500 0.000 0.000
Tm 0.330 0.671 0.750
Tm 0.830 0.829 0.750
Tm 0.670 0.329 0.250
Tm 0.170 0.171 0.250
Dy 0.128 0.872 0.500
Dy 0.872 0.128 0.000
Dy 0.872 0.128 0.500
Dy 0.372 0.372 0.000
Dy 0.372 0.372 0.500
Dy 0.628 0.628 0.500
Dy 0.329 0.670 0.250
Dy 0.628 0.628 0.000
Dy 0.128 0.872 0.000
Dy 0.829 0.830 0.250
Dy 0.671 0.330 0.750
Dy 0.171 0.170 0.750

ΔH_f (0 K), eV per atom: 0.0955
Energy above the most stable polymorph in this dataset, meV per atom: 0

## DyEr2Tm3 (PBE)

Data for a geometry-optimized DyEr2Tm3 structure.

abc: 6.048 6.993 9.254
angles: 112.28 89.98 89.99
Element x y z (fractional)
Tm 0.083 0.292 0.334
Tm 0.583 0.042 0.334
Tm 0.417 0.958 0.666
Tm 0.250 0.375 0.000
Tm 0.750 0.625 0.000
Tm 0.917 0.708 0.666
Er 0.583 0.542 0.334
Er 0.417 0.458 0.666
Er 0.917 0.208 0.666
Er 0.083 0.792 0.334
Dy 0.250 0.875 0.000
Dy 0.750 0.125 0.000

ΔH_f (0 K), eV per atom: 0.0256
Energy above the most stable polymorph in this dataset, meV per atom: 0

## Dy4Er5Tm2 (PBE)

Data for a geometry-optimized Dy4Er5Tm2 structure.

abc: 3.606 9.783 12.516
angles: 123.77 81.73 111.65
Element x y z (fractional)
Dy 0.673 0.646 0.946
Dy 0.327 0.354 0.054
Dy 0.754 0.426 0.343
Dy 0.246 0.574 0.657
Er 0.080 0.962 0.764
Er 0.420 0.171 0.501
Er 0.580 0.829 0.499
Er 0.920 0.038 0.236
Er 0.500 0.000 0.000
Tm 0.891 0.277 0.771
Tm 0.109 0.723 0.229

ΔH_f (0 K), eV per atom: 0.0590